Material: CoGeO3
Method: DFT, PBE with a Hubbard U
State: relaxed Values from VASP.

```
&SYSTEM
  ibrav = 0, nat = 10, ntyp = 3
/
ATOMIC_SPECIES
Ge 72.64 Ge.upf
O 16.00 O.upf
Co 58.93 Co.upf
ATOMIC_POSITIONS angstrom
Ge 0.0000 0.0000 3.4647
O -0.8498 1.4896 8.0843
Co 0.0000 0.0000 6.9294
O 1.7149 -0.0089 8.0843
O -1.7149 0.0089 5.7745
Co 0.0000 0.0000 0.0000
O 0.8498 -1.4896 5.7745
O 0.8652 1.4807 5.7745
Ge 0.0000 0.0000 10.3940
O -0.8652 -1.4807 8.0842
CELL_PARAMETERS angstrom
2.5801 1.4896 4.6196
-2.5801 1.4896 4.6196
0.0000 -2.9792 4.6196
```

Results
space group = R-3c, No. 167
total magnetic moment = 6.0 μB/cell
final energy = -6.143 eV/atom